(1)
A plane-wave DFT calculation with PBE was carried out for a geometry-optimized PaMoP2 structure.

```
PaMoP2
1.0
3.783 0.000 0.000
1.892 3.276 0.000
1.892 1.092 6.054
Pa Mo P
1 1 2
Direct
0.670 0.670 0.989
0.489 0.489 0.534
0.099 0.099 0.702
0.242 0.242 0.275
```

Computed properties:
Its energy above the most stable polymorph in this dataset is 38.0 meV/atom. The calculation puts the magnetic moment at 0.003 μB/f.u. For the energy relative to the elements, the calculation gives -0.645 eV/atom. Its space group is R3m, No. 160. As for the density: 8.61 g/cm³.

(2)
A plane-wave DFT calculation with PBE was carried out for a geometry-optimized PaMoP2 structure.

```
PaMoP2
1.0
-1.599 1.983 1.703
0.054 -0.214 3.057
6.758 6.225 1.853
P Mo Pa
2 1 1
Direct
0.104 0.104 0.688
0.896 0.896 0.312
0.500 0.500 0.500
0.000 0.000 0.000
```

Computed properties:
Its energy above the most stable polymorph in this dataset is 530.0 meV/atom. The calculation puts the magnetic moment at 0.000 μB/f.u. For the energy relative to the elements, the calculation gives -0.153 eV/atom. Its space group is R-3m, No. 166. As for the density: 8.63 g/cm³.

(3)
A plane-wave DFT calculation with PBE was carried out for a geometry-optimized PaMoP2Ru structure.

```
PaMoP2Ru
1.0
-1.745 0.366 3.767
-2.782 -2.936 -1.003
5.191 -2.064 0.300
Pa Mo P Ru
1 1 2 1
Direct
0.000 0.000 0.000
0.750 0.250 0.500
0.627 0.627 0.253
0.373 0.373 0.747
0.250 0.750 0.500
```

Computed properties:
The calculation puts the magnetic moment at 0.000 μB/f.u. For the energy relative to the elements, the calculation gives -0.775 eV/atom. Its space group is I-4m2, No. 119. As for the density: 9.85 g/cm³.

(4)
A plane-wave DFT calculation with PBE was carried out for a geometry-optimized PaTcMoP2 structure.

```
PaTcMoP2
1.0
-2.916 -0.557 -2.947
-0.555 -3.940 1.293
-1.629 3.723 3.877
Pa Tc Mo P
1 1 1 2
Direct
0.000 0.000 0.000
0.250 0.750 0.500
0.750 0.250 0.500
0.626 0.626 0.252
0.374 0.374 0.748
```

Computed properties:
The calculation puts the magnetic moment at 0.001 μB/f.u. For the energy relative to the elements, the calculation gives -0.707 eV/atom. Its space group is I-4m2, No. 119. As for the density: 9.68 g/cm³.

Number 1: raw total energy -33.7 eV/cell, DOS(E_F) 4.83 states/eV/cell. Number 2: raw total energy -31.8 eV/cell, DOS(E_F) 4.35 states/eV/cell. Number 3: raw total energy -44.3 eV/cell, DOS(E_F) 4.13 states/eV/cell. Number 4: raw total energy -45.0 eV/cell, DOS(E_F) 6.24 states/eV/cell.